Record 1
First-principles (PBE) data for a relaxed structure of AcPr3Si4, as listed in Alexandria via LeMat-Bulk.

Values from the calculation:
Final energy   -5.47 eV per atom
Uncorrected formation energy   -0.45 eV/atom
SG   Immm

Lattice parameters (Å, degrees): 9.1311 9.1311 9.1311 153.86 137.35 50.71
Closest atoms and distances in Å follow each position.
Fractional positions:
Ac 0.0000 0.0000 0.0000  4 Si 3.09
Pr 0.1945 0.6945 0.5000  6 Si 3.06-3.14
Pr 0.5000 0.5000 0.0000  8 Si 3.25
Pr 0.8055 0.3055 0.5000  6 Si 3.06-3.14
Si 0.1900 0.8656 0.3244  1 Si 2.33
Si 0.4588 0.1344 0.3244  1 Si 2.33
Si 0.5412 0.8656 0.6756  1 Si 2.33
Si 0.8100 0.1344 0.6756  1 Si 2.33

Record 2
First-principles (PBE) data for a relaxed structure of AcPr2Si2, as listed in Alexandria via LeMat-Bulk.

Values from the calculation:
Final energy   -5.45 eV per atom
Uncorrected formation energy   -0.55 eV/atom
Offset from the most stable computed form   0.0 meV/atom
SG   P4/mbm

Lattice parameters (Å, degrees): 8.0304 8.0304 4.3519 90.00 90.00 90.00
Closest atoms and distances in Å follow each position.
Fractional positions:
Ac 0.0000 0.0000 0.0000  4 Si 3.27
Ac 0.5000 0.5000 0.0000  4 Si 3.27
Pr 0.1742 0.3258 0.5000  6 Si 3.18-3.30
Pr 0.3258 0.8258 0.5000  6 Si 3.18-3.30
Pr 0.6742 0.1742 0.5000  6 Si 3.18-3.30
Pr 0.8258 0.6742 0.5000  6 Si 3.18-3.30
Si 0.1071 0.6071 0.0000  1 Si 2.43
Si 0.3929 0.1071 0.0000  1 Si 2.43
Si 0.6071 0.8929 0.0000  1 Si 2.43
Si 0.8929 0.3929 0.0000  1 Si 2.43

Record 3
First-principles (PBE) data for a relaxed structure of AcPrSi2, as listed in Alexandria via LeMat-Bulk.

Values from the calculation:
Final energy   -5.24 eV per atom
Uncorrected formation energy   -0.30 eV/atom
Offset from the most stable computed form   336.1 meV/atom
SG   Fm-3m

Lattice parameters (Å, degrees): 5.3343 5.3343 5.3343 60.00 60.00 60.00
Closest atoms and distances in Å follow each position.
Fractional positions:
Ac 0.0000 0.0000 0.0000  8 Si 3.27
Pr 0.5000 0.5000 0.5000  8 Si 3.27
Si 0.2500 0.2500 0.2500  4 Pr 3.27, 4 Ac 3.27
Si 0.7500 0.7500 0.7500  4 Pr 3.27, 4 Ac 3.27